A plane-wave DFT calculation with PBE was carried out for a relaxed structure of VCrCl6.

Results
D(E_F)   6.78 states/eV/cell
Space group   C2/m (12)
E_form (uncorrected)   -1.073 eV/atom
E   -4.80 eV/atom

Lattice parameters (Å, degrees): 6.8559 6.8559 5.9069 97.47 97.47 128.98
With the nearest neighbours (Å) after each atom.
Positions (direct):
Cl 0.2438 0.2438 0.7510  1 V 2.35, 1 Cr 2.42
Cl 0.8766 0.6154 0.7480  1 Cr 2.36, 1 V 2.39
Cl 0.7562 0.7562 0.2490  1 V 2.35, 1 Cr 2.42
Cl 0.6154 0.8766 0.7480  1 Cr 2.36, 1 V 2.39
Cl 0.1234 0.3846 0.2520  1 Cr 2.36, 1 V 2.39
Cl 0.3846 0.1234 0.2520  1 Cr 2.36, 1 V 2.39
V 0.0000 0.0000 0.0000  6 Cl 2.35-2.39
Cr 0.5000 0.5000 0.5000  6 Cl 2.36-2.42